1.
This record from the Alexandria database describes Tc3Te after structural relaxation. The functional is PBE.

```
Tc3Te
1.0
2.985 0.000 0.000
-1.492 2.585 0.000
0.000 0.000 8.562
Tc Te
3 1
Direct
0.667 0.333 0.250 Tc
0.000 0.000 0.490 Tc
0.000 0.000 0.010 Tc
0.667 0.333 0.750 Te
```

Uncorrected formation energy ... 0.4856 eV per atom
Energy above the lowest structure with this stoichiometry ... 0.1755 eV/atom
Final energy ... -8.074 eV per atom
SG ... P-6m2

***

2.
This record from the Alexandria database describes TcTe after structural relaxation. The functional is PBE.

```
TcTe
1.0
-3.288 -0.361 1.990
5.264 -10.773 6.745
1.433 2.462 2.813
Te Tc
4 4
Direct
0.000 0.363 0.758 Te
0.000 0.637 0.758 Te
0.500 0.863 0.258 Te
0.500 0.137 0.258 Te
0.500 0.500 0.923 Tc
0.500 0.000 0.784 Tc
0.000 0.500 0.284 Tc
0.000 0.000 0.423 Tc
```

Uncorrected formation energy ... 0.1134 eV per atom
Energy above the lowest structure with this stoichiometry ... 0.0485 eV/atom
Final energy ... -6.640 eV per atom
SG ... Imm2

***

3.
This record from the Alexandria database describes Tc3Te after structural relaxation. The functional is PBE.

```
Tc3Te
1.0
-1.606 -1.520 -4.385
-3.827 -1.924 -2.403
-1.899 4.080 -1.297
Tc Te
3 1
Direct
0.236 0.236 0.276 Tc
0.500 0.500 0.500 Tc
0.764 0.764 0.724 Tc
0.000 0.000 0.000 Te
```

Uncorrected formation energy ... 0.3661 eV per atom
Energy above the lowest structure with this stoichiometry ... 0.0560 eV/atom
Final energy ... -8.194 eV per atom
SG ... C2/m

***

4.
This record from the Alexandria database describes Tc2Te after structural relaxation. The functional is PBE.

```
Tc2Te
1.0
4.808 -2.155 -1.639
3.132 2.707 3.647
-4.387 -3.038 1.404
Tc Te
4 2
Direct
0.168 0.668 0.836 Tc
0.668 0.832 0.500 Tc
0.832 0.332 0.164 Tc
0.332 0.168 0.500 Tc
0.750 0.750 0.000 Te
0.250 0.250 0.000 Te
```

Uncorrected formation energy ... 0.5499 eV per atom
Energy above the lowest structure with this stoichiometry ... 0.5553 eV/atom
Final energy ... -7.408 eV per atom
SG ... I4/mcm

***

5.
This record from the Alexandria database describes TcTe after structural relaxation. The functional is PBE.

```
TcTe
1.0
5.519 0.015 0.000
-4.489 3.212 0.000
0.000 0.000 4.260
Te Tc
2 2
Direct
0.647 0.353 0.750 Te
0.353 0.647 0.250 Te
0.914 0.086 0.750 Tc
0.086 0.914 0.250 Tc
```

Uncorrected formation energy ... 0.3234 eV per atom
Energy above the lowest structure with this stoichiometry ... 0.2585 eV/atom
Final energy ... -6.430 eV per atom
SG ... Cmcm

***

6.
This record from the Alexandria database describes Tc3Te after structural relaxation. The functional is PBE.

```
Tc3Te
1.0
5.135 0.002 0.004
-2.278 4.602 0.004
-2.278 -3.670 2.776
Te Tc
1 3
Direct
0.000 0.500 0.500 Te
0.000 0.000 0.000 Tc
0.500 0.000 0.500 Tc
0.500 0.500 0.000 Tc
```

Uncorrected formation energy ... 0.5985 eV per atom
Energy above the lowest structure with this stoichiometry ... 0.2884 eV/atom
Final energy ... -7.961 eV per atom
SG ... R-3m

***

7.
This record from the Alexandria database describes TcTe after structural relaxation. The functional is PBE.

```
TcTe
1.0
-1.207 2.452 1.397
-2.136 0.782 -3.216
-5.632 -4.306 2.693
Te Tc
2 2
Direct
0.000 0.000 0.605 Te
0.500 0.500 0.145 Te
0.500 0.500 0.797 Tc
0.000 0.000 0.953 Tc
```

Uncorrected formation energy ... 0.1839 eV per atom
Energy above the lowest structure with this stoichiometry ... 0.1190 eV/atom
Final energy ... -6.570 eV per atom
SG ... Pmmn

***

8.
This record from the Alexandria database describes Tc3Te after structural relaxation. The functional is PBE.

```
Tc3Te
1.0
3.788 -4.420 0.000
3.788 4.420 0.000
0.000 0.000 4.499
Tc Te
6 2
Direct
0.375 0.940 0.250 Tc
0.061 0.939 0.750 Tc
0.625 0.060 0.750 Tc
0.940 0.375 0.750 Tc
0.060 0.625 0.250 Tc
0.939 0.061 0.250 Tc
0.630 0.370 0.250 Te
0.370 0.630 0.750 Te
```

Uncorrected formation energy ... 0.4767 eV per atom
Energy above the lowest structure with this stoichiometry ... 0.1666 eV/atom
Final energy ... -8.083 eV per atom
SG ... Cmcm